(1)
This record from the Alexandria database describes a geometry-optimized MnTcNi2 structure. The functional is PBEsol.

The space group is P4/mmm (No. 123) and the conventional cell measures 3.058, 3.058 and 5.035 Å, with angles of 90.00, 90.00 and 90.00 degrees. The asymmetric unit holds Mn at (0.000, 0.000, 0.000), Tc at (0.000, 0.000, 0.500) and Ni at (0.500, 0.500, 0.245).

For the density, the calculation gives 9.53 g cm⁻³. The calculation puts the magnetic moment at 2.69 μB per cell. For the distance to the lowest polymorph of the same formula, the calculation gives 30 meV per atom.



(2)
This record from the Alexandria database describes a geometry-optimized MnTcNi2 structure. The functional is PBEsol.

The space group is Fm-3m (No. 225) and the conventional cell measures 5.746, 5.746 and 5.746 Å, with angles of 90.00, 90.00 and 90.00 degrees. The asymmetric unit holds Mn at (0.000, 0.000, 0.000), Tc at (0.000, 0.000, 0.500) and Ni at (0.250, 0.250, 0.250).

For the density, the calculation gives 9.46 g cm⁻³. The calculation puts the magnetic moment at 10.41 μB per cell. For the distance to the lowest polymorph of the same formula, the calculation gives 88 meV per atom.



(3)
This record from the Alexandria database describes a geometry-optimized MnTcNi2 structure. The functional is PBEsol.

The space group is F-43m (No. 216) and the conventional cell measures 5.692, 5.692 and 5.692 Å, with angles of 90.00, 90.00 and 90.00 degrees. The asymmetric unit holds Mn at (0.000, 0.000, 0.000), Tc at (0.250, 0.250, 0.250), Ni at (0.000, 0.000, 0.500) and Ni at (0.250, 0.250, 0.750).

For the density, the calculation gives 9.74 g cm⁻³. The calculation puts the magnetic moment at 4.85 μB per cell. For the distance to the lowest polymorph of the same formula, the calculation gives 0 meV per atom.



(4)
This record from the Alexandria database describes a geometry-optimized Mn2TcNi structure. The functional is PBEsol.

The space group is I4/mmm (No. 139) and the conventional cell measures 3.606, 3.606 and 6.980 Å, with angles of 90.00, 90.00 and 90.00 degrees. The asymmetric unit holds Mn at (0.000, 0.500, 0.250), Tc at (0.000, 0.000, 0.000) and Ni at (0.000, 0.000, 0.500).

For the density, the calculation gives 9.76 g cm⁻³. The calculation puts the magnetic moment at 3.48 μB per cell. The value obtained for the total energy is -9.192 eV/atom.